[1]
CuCl2: relaxed, GGA-PBE.

total DFT energy (no corrections) = -8.59 eV/f.u.

Unit cell a=11.548 b=3.770 c=5.353 alpha=90.00 beta=90.00 gamma=90.00
Fractional positions:
Cu1 0.128 0.250 0.036
Cu2 0.372 0.750 0.536
Cu3 0.628 0.250 0.464
Cu4 0.872 0.750 0.964
Cl1 0.023 0.750 0.247
Cl2 0.228 0.750 0.823
Cl3 0.272 0.250 0.323
Cl4 0.477 0.250 0.747
Cl5 0.523 0.750 0.253
Cl6 0.728 0.750 0.677
Cl7 0.772 0.250 0.177
Cl8 0.977 0.250 0.753



[2]
CsCdPO: relaxed, GGA-PBE.

total DFT energy (no corrections) = -11.77 eV/f.u.

Unit cell a=4.345 b=4.345 c=11.793 alpha=90.00 beta=90.00 gamma=90.00
Fractional positions:
Cs1 0.250 0.250 0.156
Cs2 0.750 0.750 0.844
Cd1 0.250 0.750 0.500
Cd2 0.750 0.250 0.500
P1 0.250 0.250 0.629
P2 0.750 0.750 0.371
O1 0.250 0.750 0.000
O2 0.750 0.250 0.000



[3]
Ta2AgBi: relaxed, GGA-PBE.

total DFT energy (no corrections) = -27.62 eV/f.u.
total magnetization = 0.0 μB per cell

Unit cell a=4.861 b=4.861 c=4.861 alpha=60.00 beta=60.00 gamma=60.00
Fractional positions:
Ta1 0.000 0.000 0.000
Ta2 0.250 0.250 0.250
Ag1 0.750 0.750 0.750
Bi1 0.500 0.500 0.500



[4]
Tm3In3Cu2Ni: relaxed, GGA-PBE.

total DFT energy (no corrections) = -38.63 eV/f.u.
total magnetization = 0.0 μB per cell

Unit cell a=7.427 b=7.427 c=3.818 alpha=90.00 beta=90.00 gamma=120.00
Fractional positions:
Tm1 0.000 0.406 0.000
Tm2 0.406 0.000 0.000
Tm3 0.594 0.594 0.000
In1 0.000 0.745 0.500
In2 0.255 0.255 0.500
In3 0.745 0.000 0.500
Cu1 0.333 0.667 0.500
Cu2 0.667 0.333 0.500
Ni1 0.000 0.000 0.000